1) MgFe3Ge: relaxed, PBE.

Output
The value obtained for the magnetization is 8.0 Bohr magnetons per cell. The value obtained for the volume is 88.7 Å³/cell. As for the space group: Pm-3m.

Cell lengths 4.4602, 4.4602, 4.4602 Å; angles 90.00, 90.00, 90.00 degrees
Sites, in units of the cell vectors:
Mg 0.0000 0.0000 0.0000
Fe 0.0000 0.0000 0.5000
Fe 0.0000 0.5000 0.0000
Fe 0.5000 0.0000 0.0000
Ge 0.5000 0.5000 0.5000

2) MgFe3Ge: relaxed, PBE.

Output
The value obtained for the magnetization is 6.7 Bohr magnetons per cell. The value obtained for the volume is 86.4 Å³/cell. As for the space group: Pm-3m.

Cell lengths 4.4206, 4.4206, 4.4206 Å; angles 90.00, 90.00, 90.00 degrees
Sites, in units of the cell vectors:
Mg 0.0000 0.0000 0.0000
Fe 0.0000 0.5000 0.5000
Fe 0.5000 0.0000 0.5000
Fe 0.5000 0.5000 0.0000
Ge 0.5000 0.5000 0.5000

Stability summary: most stable 2), least stable 1).

1) Mn2Fe2Ge: relaxed, PBE.

Output
The value obtained for the magnetization is 3.8 Bohr magnetons per cell. The value obtained for the volume is 121.6 Å³/cell. As for the space group: P4/mbm.

Cell lengths 6.8331, 6.8331, 2.6044 Å; angles 90.00, 90.00, 90.00 degrees
Sites, in units of the cell vectors:
Mn 0.1666 0.3334 0.0000
Mn 0.3334 0.8334 0.0000
Mn 0.6666 0.1666 0.0000
Mn 0.8334 0.6666 0.0000
Fe 0.1258 0.6258 0.5000
Fe 0.3742 0.1258 0.5000
Fe 0.6258 0.8742 0.5000
Fe 0.8742 0.3742 0.5000
Ge 0.0000 0.0000 0.5000
Ge 0.5000 0.5000 0.5000

2) Mn2Fe2Ge: relaxed, PBE.

Output
The value obtained for the magnetization is 15.3 Bohr magnetons per cell. The value obtained for the volume is 118.9 Å³/cell. As for the space group: C2/m.

Cell lengths 7.0844, 4.0532, 4.7959 Å; angles 90.00, 120.27, 90.00 degrees
Sites, in units of the cell vectors:
Mn 0.2061 0.0000 0.1182
Mn 0.2939 0.5000 0.8818
Mn 0.7061 0.5000 0.1182
Mn 0.7939 0.0000 0.8818
Fe 0.0945 0.5000 0.2845
Fe 0.4055 0.0000 0.7155
Fe 0.5945 0.0000 0.2845
Fe 0.9055 0.5000 0.7155
Ge 0.0000 0.0000 0.5000
Ge 0.5000 0.5000 0.5000

Stability summary: most stable 2), least stable 1).

1) MnFe3Ge: relaxed, PBE.

Output
The value obtained for the magnetization is 18.1 Bohr magnetons per cell. The value obtained for the volume is 128.5 Å³/cell. As for the space group: Imma.

Cell lengths 12.3519, 12.3519, 12.3519 Å; angles 167.70, 161.33, 22.42 degrees
Sites, in units of the cell vectors:
Mn 0.3743 0.1243 0.2500
Mn 0.6257 0.8757 0.7500
Fe 0.0471 0.7971 0.2500
Fe 0.2748 0.0248 0.2500
Fe 0.4600 0.7100 0.7500
Fe 0.5400 0.2900 0.2500
Fe 0.7252 0.9752 0.7500
Fe 0.9529 0.2029 0.7500
Ge 0.1704 0.4204 0.7500
Ge 0.8296 0.5796 0.2500

2) MnFe3Ge: relaxed, PBE.

Output
The value obtained for the magnetization is 5.8 Bohr magnetons per cell. The value obtained for the volume is 77.5 Å³/cell. As for the space group: Pm-3m.

Cell lengths 4.2642, 4.2642, 4.2642 Å; angles 90.00, 90.00, 90.00 degrees
Sites, in units of the cell vectors:
Mn 0.0000 0.0000 0.0000
Fe 0.0000 0.0000 0.5000
Fe 0.0000 0.5000 0.0000
Fe 0.5000 0.0000 0.0000
Ge 0.5000 0.5000 0.5000

3) MnFe3Ge: relaxed, PBE.

Output
The value obtained for the magnetization is 20.6 Bohr magnetons per cell. The value obtained for the volume is 150.6 Å³/cell. As for the space group: Cmmm.

Cell lengths 4.6458, 6.9819, 4.6426 Å; angles 90.00, 90.00, 90.00 degrees
Sites, in units of the cell vectors:
Mn 0.0000 0.0000 0.0000
Mn 0.5000 0.5000 0.0000
Fe 0.0000 0.1639 0.5000
Fe 0.0000 0.5000 0.0000
Fe 0.0000 0.8361 0.5000
Fe 0.5000 0.0000 0.0000
Fe 0.5000 0.3361 0.5000
Fe 0.5000 0.6639 0.5000
Ge 0.0000 0.5000 0.5000
Ge 0.5000 0.0000 0.5000

Stability summary: most stable 1), least stable 2).

1) FeGeSe2N: relaxed, PBE.

Output
The value obtained for the magnetization is 0.2 Bohr magnetons per cell. The value obtained for the volume is 84.7 Å³/cell. As for the space group: P4/mmm.

Cell lengths 4.9801, 4.9801, 3.4155 Å; angles 90.00, 90.00, 90.00 degrees
Sites, in units of the cell vectors:
Fe 0.0000 0.0000 0.0000
Ge 0.5000 0.5000 0.5000
Se 0.0000 0.5000 0.0000
Se 0.5000 0.0000 0.0000
N 0.0000 0.0000 0.5000

2) FeGeSe2N: relaxed, PBE.

Output
The value obtained for the magnetization is 4.0 Bohr magnetons per cell. The value obtained for the volume is 94.2 Å³/cell. As for the space group: P4/mmm.

Cell lengths 5.1960, 5.1960, 3.4892 Å; angles 90.00, 90.00, 90.00 degrees
Sites, in units of the cell vectors:
Fe 0.0000 0.0000 0.0000
Ge 0.5000 0.5000 0.5000
Se 0.0000 0.5000 0.5000
Se 0.5000 0.0000 0.5000
N 0.5000 0.5000 0.0000

Stability summary: most stable 1), least stable 2).

1) FeGeTe2N: relaxed, PBE.

Output
The value obtained for the magnetization is 3.4 Bohr magnetons per cell. The value obtained for the volume is 110.9 Å³/cell. As for the space group: P4/mmm.

Cell lengths 5.6469, 5.6469, 3.4768 Å; angles 90.00, 90.00, 90.00 degrees
Sites, in units of the cell vectors:
Fe 0.0000 0.0000 0.0000
Ge 0.5000 0.5000 0.5000
Te 0.0000 0.5000 0.5000
Te 0.5000 0.0000 0.5000
N 0.5000 0.5000 0.0000

2) FeGeTe2N: relaxed, PBE.

Output
The value obtained for the magnetization is 0.0 Bohr magnetons per cell. The value obtained for the volume is 97.9 Å³/cell. As for the space group: P4/mmm.

Cell lengths 5.3539, 5.3539, 3.4151 Å; angles 90.00, 90.00, 90.00 degrees
Sites, in units of the cell vectors:
Fe 0.0000 0.0000 0.0000
Ge 0.5000 0.5000 0.5000
Te 0.0000 0.5000 0.0000
Te 0.5000 0.0000 0.0000
N 0.0000 0.0000 0.5000

Stability summary: most stable 2), least stable 1).

1) YFe2GeN: relaxed, PBE.

Output
The value obtained for the magnetization is 0.0 Bohr magnetons per cell. The value obtained for the volume is 135.8 Å³/cell. As for the space group: Cmcm.

Cell lengths 5.6311, 5.6311, 6.8755 Å; angles 90.00, 90.00, 141.46 degrees
Sites, in units of the cell vectors:
Y 0.0482 0.9518 0.7500
Y 0.9518 0.0482 0.2500
Fe 0.3401 0.6599 0.5567
Fe 0.3401 0.6599 0.9433
Fe 0.6599 0.3401 0.0567
Fe 0.6599 0.3401 0.4433
Ge 0.2303 0.7697 0.2500
Ge 0.7697 0.2303 0.7500
N 0.5000 0.5000 0.0000
N 0.5000 0.5000 0.5000

2) YFe2GeN: relaxed, PBE.

Output
The value obtained for the magnetization is 5.7 Bohr magnetons per cell. The value obtained for the volume is 100.0 Å³/cell. As for the space group: P4/mmm.

Cell lengths 4.9279, 4.9279, 4.1179 Å; angles 90.00, 90.00, 90.00 degrees
Sites, in units of the cell vectors:
Y 0.0000 0.0000 0.0000
Fe 0.0000 0.5000 0.0000
Fe 0.5000 0.0000 0.0000
Ge 0.5000 0.5000 0.5000
N 0.0000 0.0000 0.5000

Stability summary: most stable 1), least stable 2).

1) NaFeGe2: relaxed, PBE.

Output
The value obtained for the magnetization is 0.0 Bohr magnetons per cell. The value obtained for the volume is 229.3 Å³/cell. As for the space group: R-3m.

Cell lengths 3.9686, 3.9686, 16.8076 Å; angles 90.00, 90.00, 120.00 degrees
Sites, in units of the cell vectors:
Na 0.0000 0.0000 0.0000
Na 0.3333 0.6667 0.6667
Na 0.6667 0.3333 0.3333
Fe 0.0000 0.0000 0.5000
Fe 0.3333 0.6667 0.1667
Fe 0.6667 0.3333 0.8333
Ge 0.0000 0.0000 0.2099
Ge 0.0000 0.0000 0.7901
Ge 0.3333 0.6667 0.4568
Ge 0.3333 0.6667 0.8766
Ge 0.6667 0.3333 0.1234
Ge 0.6667 0.3333 0.5432

2) NaFeGe2: relaxed, PBE.

Output
The value obtained for the magnetization is 0.0 Bohr magnetons per cell. The value obtained for the volume is 422.5 Å³/cell. As for the space group: I4_1/amd.

Cell lengths 5.5420, 5.5420, 13.7569 Å; angles 90.00, 90.00, 90.00 degrees
Sites, in units of the cell vectors:
Na 0.0000 0.2500 0.3750
Na 0.0000 0.7500 0.6250
Na 0.5000 0.2500 0.1250
Na 0.5000 0.7500 0.8750
Fe 0.0000 0.2500 0.8750
Fe 0.0000 0.7500 0.1250
Fe 0.5000 0.2500 0.6250
Fe 0.5000 0.7500 0.3750
Ge 0.0000 0.0000 0.0000
Ge 0.0000 0.5000 0.0000
Ge 0.2500 0.2500 0.7500
Ge 0.2500 0.7500 0.2500
Ge 0.5000 0.0000 0.5000
Ge 0.5000 0.5000 0.5000
Ge 0.7500 0.2500 0.7500
Ge 0.7500 0.7500 0.2500

3) NaFeGe2: relaxed, PBE.

Output
The value obtained for the magnetization is 0.0 Bohr magnetons per cell. The value obtained for the volume is 66.0 Å³/cell. As for the space group: P4/mmm.

Cell lengths 2.9066, 2.9066, 7.8169 Å; angles 90.00, 90.00, 90.00 degrees
Sites, in units of the cell vectors:
Na 0.0000 0.0000 0.0000
Fe 0.0000 0.0000 0.5000
Ge 0.5000 0.5000 0.3113
Ge 0.5000 0.5000 0.6887

4) NaFeGe2: relaxed, PBE.

Output
The value obtained for the magnetization is 2.4 Bohr magnetons per cell. The value obtained for the volume is 239.3 Å³/cell. As for the space group: Fm-3m.

Cell lengths 6.2081, 6.2081, 6.2081 Å; angles 90.00, 90.00, 90.00 degrees
Sites, in units of the cell vectors:
Na 0.0000 0.0000 0.0000
Na 0.0000 0.5000 0.5000
Na 0.5000 0.0000 0.5000
Na 0.5000 0.5000 0.0000
Fe 0.0000 0.0000 0.5000
Fe 0.0000 0.5000 0.0000
Fe 0.5000 0.0000 0.0000
Fe 0.5000 0.5000 0.5000
Ge 0.2500 0.2500 0.2500
Ge 0.2500 0.2500 0.7500
Ge 0.2500 0.7500 0.2500
Ge 0.2500 0.7500 0.7500
Ge 0.7500 0.2500 0.2500
Ge 0.7500 0.2500 0.7500
Ge 0.7500 0.7500 0.2500
Ge 0.7500 0.7500 0.7500

Stability summary: most stable 3), least stable 4).

1) Nb3FeGe: relaxed, PBE.

Output
The value obtained for the magnetization is 0.0 Bohr magnetons per cell. The value obtained for the volume is 103.9 Å³/cell. As for the space group: Pm-3m.

Cell lengths 4.7005, 4.7005, 4.7005 Å; angles 90.00, 90.00, 90.00 degrees
Sites, in units of the cell vectors:
Nb 0.0000 0.0000 0.5000
Nb 0.0000 0.5000 0.0000
Nb 0.5000 0.0000 0.0000
Fe 0.5000 0.5000 0.5000
Ge 0.0000 0.0000 0.0000

2) Nb3FeGe: relaxed, PBE.

Output
The value obtained for the magnetization is 0.0 Bohr magnetons per cell. The value obtained for the volume is 95.8 Å³/cell. As for the space group: Pm-3m.

Cell lengths 4.5754, 4.5754, 4.5754 Å; angles 90.00, 90.00, 90.00 degrees
Sites, in units of the cell vectors:
Nb 0.0000 0.0000 0.5000
Nb 0.0000 0.5000 0.0000
Nb 0.5000 0.0000 0.0000
Fe 0.0000 0.0000 0.0000
Ge 0.5000 0.5000 0.5000

Stability summary: most stable 2), least stable 1).

1) FeNi3Ge: relaxed, PBE.

Output
The value obtained for the magnetization is 4.7 Bohr magnetons per cell. The value obtained for the volume is 80.5 Å³/cell. As for the space group: Pm-3m.

Cell lengths 4.3170, 4.3170, 4.3170 Å; angles 90.00, 90.00, 90.00 degrees
Sites, in units of the cell vectors:
Fe 0.0000 0.0000 0.0000
Ni 0.0000 0.0000 0.5000
Ni 0.0000 0.5000 0.0000
Ni 0.5000 0.0000 0.0000
Ge 0.5000 0.5000 0.5000

2) FeNi3Ge: relaxed, PBE.

Output
The value obtained for the magnetization is 7.3 Bohr magnetons per cell. The value obtained for the volume is 116.1 Å³/cell. As for the space group: P-1.

Cell lengths 4.3124, 4.3170, 6.8493 Å; angles 84.83, 71.71, 73.58 degrees
Sites, in units of the cell vectors:
Fe 0.1448 0.2501 0.2109
Fe 0.8552 0.7499 0.7891
Ni 0.0504 0.7502 0.3990
Ni 0.2497 0.7500 0.0005
Ni 0.4471 0.7499 0.6054
Ni 0.5529 0.2501 0.3946
Ni 0.7503 0.2500 0.9995
Ni 0.9496 0.2498 0.6010
Ge 0.3551 0.2499 0.7898
Ge 0.6449 0.7501 0.2102

Stability summary: most stable 2), least stable 1).

1) FeNi3Ge: relaxed, PBE.

Output
The value obtained for the magnetization is 3.8 Bohr magnetons per cell. The value obtained for the volume is 78.5 Å³/cell. As for the space group: Pm-3m.

Cell lengths 4.2813, 4.2813, 4.2813 Å; angles 90.00, 90.00, 90.00 degrees
Sites, in units of the cell vectors:
Fe 0.0000 0.0000 0.0000
Ni 0.0000 0.5000 0.5000
Ni 0.5000 0.0000 0.5000
Ni 0.5000 0.5000 0.0000
Ge 0.5000 0.5000 0.5000

2) FeNi3Ge: relaxed, PBE.

Output
The value obtained for the magnetization is 7.1 Bohr magnetons per cell. The value obtained for the volume is 128.3 Å³/cell. As for the space group: Cmcm.

Cell lengths 5.2431, 5.2431, 7.3747 Å; angles 90.00, 90.00, 140.73 degrees
Sites, in units of the cell vectors:
Fe 0.1695 0.8305 0.7500
Fe 0.8305 0.1695 0.2500
Ni 0.1559 0.8441 0.2500
Ni 0.3366 0.6634 0.0053
Ni 0.3366 0.6634 0.4947
Ni 0.6634 0.3366 0.5053
Ni 0.6634 0.3366 0.9947
Ni 0.8441 0.1559 0.7500
Ge 0.0000 0.0000 0.0000
Ge 0.0000 0.0000 0.5000

Stability summary: most stable 2), least stable 1).

1) FeNi5Ge: relaxed, PBE.

Output
The value obtained for the magnetization is 3.6 Bohr magnetons per cell. The value obtained for the volume is 86.2 Å³/cell. As for the space group: P4/mmm.

Cell lengths 4.0671, 4.0671, 5.2088 Å; angles 90.00, 90.00, 90.00 degrees
Sites, in units of the cell vectors:
Fe 0.0000 0.0000 0.0000
Ni 0.0000 0.0000 0.5000
Ni 0.0000 0.5000 0.2418
Ni 0.0000 0.5000 0.7582
Ni 0.5000 0.0000 0.2418
Ni 0.5000 0.0000 0.7582
Ge 0.5000 0.5000 0.5000

2) FeNi5Ge: relaxed, PBE.

Output
The value obtained for the magnetization is 8.6 Bohr magnetons per cell. The value obtained for the volume is 166.8 Å³/cell. As for the space group: C2/c.

Cell lengths 6.1533, 6.1533, 4.6580 Å; angles 102.16, 102.16, 95.23 degrees
Sites, in units of the cell vectors:
Fe 0.0000 0.0000 0.0000
Fe 0.0000 0.0000 0.5000
Ni 0.0260 0.6550 0.1961
Ni 0.1852 0.3404 0.4082
Ni 0.2507 0.7493 0.7500
Ni 0.3404 0.1852 0.9082
Ni 0.3450 0.9740 0.3039
Ni 0.6550 0.0260 0.6961
Ni 0.6596 0.8148 0.0918
Ni 0.7493 0.2507 0.2500
Ni 0.8148 0.6596 0.5918
Ni 0.9740 0.3450 0.8039
Ge 0.4128 0.5872 0.2500
Ge 0.5872 0.4128 0.7500

Stability summary: most stable 2), least stable 1).